No. 1
Material: TaAu2Se
Method: DFT, PBE
State: relaxed

It has space group Pmmm (No. 47), with a = 2.8916 Å, b = 2.9925 Å, c = 8.8446 Å, α = 90.00°, β = 90.00° and γ = 90.00°. The distinct sites, in fractional coordinates, are Ta at (0.0000, 0.0000, 0.0000), Au at (0.5000, 0.5000, 0.2253) and Se at (0.0000, 0.0000, 0.5000).

The uncorrected formation energy comes out at 0.109 eV per atom. The total energy comes out at -21.46 eV/cell.



No. 2
Material: Pm2ZrIn
Method: DFT, PBE
State: relaxed

It has space group R-3m (No. 166, hexagonal axes), with a = 3.4767 Å, b = 3.4767 Å, c = 33.0471 Å, α = 90.00°, β = 90.00° and γ = 120.00°. The distinct sites, in fractional coordinates, are Pm at (0.0000, 0.0000, 0.2485), Zr at (0.0000, 0.0000, 0.5000) and In at (0.0000, 0.0000, 0.0000).

The value obtained for the relative energy among the computed polymorphs is 132 meV/atom. The formation energy is -0.2 eV/f.u. The total energy comes out at -62.83 eV/cell.



No. 3
Material: Na2ScAg2
Method: DFT, PBE
State: relaxed

It has space group I4/mmm (No. 139), with a = 3.9139 Å, b = 3.9139 Å, c = 14.7690 Å, α = 90.00°, β = 90.00° and γ = 90.00°. The distinct sites, in fractional coordinates, are Na at (0.0000, 0.5000, 0.2500), Sc at (0.0000, 0.0000, 0.0000) and Ag at (0.0000, 0.0000, 0.4080).

The value obtained for the relative energy among the computed polymorphs is 0 meV/atom. The formation energy is 0.5 eV/f.u. The total energy comes out at -28.30 eV/cell.



No. 4
Material: LaSm3Ho4
Method: DFT, PBE
State: relaxed

It has space group Immm (No. 71), with a = 3.4353 Å, b = 11.6660 Å, c = 13.1719 Å, α = 90.00°, β = 90.00° and γ = 90.00°. The distinct sites, in fractional coordinates, are La at (0.0000, 0.0000, 0.0000), Sm at (0.0000, 0.0000, 0.5000), Sm at (0.0000, 0.5000, 0.2578) and Ho at (0.0000, 0.2510, 0.1353).

The value obtained for the relative energy among the computed polymorphs is 109 meV/atom. The formation energy is 1.1 eV/f.u. The total energy comes out at -72.60 eV/cell.



No. 5
Material: ScZnTe2
Method: DFT, PBE
State: relaxed

It has space group P4/mmm (No. 123), with a = 3.6782 Å, b = 3.6782 Å, c = 7.1686 Å, α = 90.00°, β = 90.00° and γ = 90.00°. The distinct sites, in fractional coordinates, are Sc at (0.0000, 0.0000, 0.0000), Zn at (0.0000, 0.0000, 0.5000) and Te at (0.5000, 0.5000, 0.2346).

The uncorrected formation energy comes out at -0.504 eV per atom. The total energy comes out at -15.90 eV/cell.



No. 6
Material: Er4GeS2
Method: DFT, PBE
State: relaxed

It has space group Pbam (No. 55), with a = 6.9269 Å, b = 11.8304 Å, c = 4.0366 Å, α = 90.00°, β = 90.00° and γ = 90.00°. The distinct sites, in fractional coordinates, are Er at (0.1123, 0.2171, 0.0000), Er at (0.2382, 0.4529, 0.5000), Ge at (0.0000, 0.0000, 0.0000) and S at (0.1062, 0.6853, 0.5000).

The uncorrected formation energy comes out at -1.240 eV per atom. The total energy comes out at -79.61 eV/cell.



No. 7
Material: TeIO
Method: DFT, PBE
State: relaxed

It has space group P-1 (No. 2), with a = 4.2722 Å, b = 4.7587 Å, c = 10.6681 Å, α = 81.51°, β = 82.77° and γ = 83.16°. The distinct sites, in fractional coordinates, are Te at (0.1045, 0.1516, 0.1244), I at (0.2348, 0.1550, 0.6713) and O at (0.2126, 0.7620, 0.9875).

The value obtained for the relative energy among the computed polymorphs is 169 meV/atom. The uncorrected formation energy comes out at -0.311 eV per atom. The total energy comes out at -21.16 eV/cell.



No. 8
Material: Sr6NiRh
Method: DFT, PBE
State: relaxed

It has space group C2/m (No. 12), with a = 7.3828 Å, b = 12.7371 Å, c = 7.3804 Å, α = 90.00°, β = 107.74° and γ = 90.00°. The distinct sites, in fractional coordinates, are Sr at (0.2489, 0.0000, 0.2505), Sr at (0.2489, 0.1581, 0.7483), Ni at (0.0000, 0.5000, 0.0000) and Rh at (0.0000, 0.0000, 0.5000).

The formation energy is -0.9 eV/f.u. The total energy comes out at -48.18 eV/cell.